# 1
# Ag2Ru2F GGA-PBE relaxed
# Density   8.23 g cm⁻³
# Final energy   -4.926 eV/atom
# M_tot   0.0 Bohr magnetons per cell
data_Ag2Ru2F
_space_group_name_H-M_alt 'I 4/m m m'
_space_group_IT_number 139
_space_group_name_Hall '-I 4 2'
_cell_length_a 3.4185
_cell_length_b 3.4185
_cell_length_c 15.0770
_cell_angle_alpha 90.00
_cell_angle_beta 90.00
_cell_angle_gamma 90.00
loop_
_atom_site_label
_atom_site_fract_x
_atom_site_fract_y
_atom_site_fract_z
Ag1 0.0000 0.0000 0.0952
Ru1 0.0000 0.5000 0.2500
F1 0.0000 0.0000 0.5000



# 2
# BaTi2V GGA-PBE relaxed
# E_form   0.3479 eV per atom
# Density   4.33 g cm⁻³
# Final energy   -6.360 eV/atom
# M_tot   4.3 Bohr magnetons per cell
data_BaTi2V
_space_group_name_H-M_alt 'C 1 2/m 1'
_space_group_IT_number 12
_cell_length_a 7.8184
_cell_length_b 4.3337
_cell_length_c 12.8654
_cell_angle_alpha 90.00
_cell_angle_beta 90.83
_cell_angle_gamma 90.00
loop_
_space_group_symop_operation_xyz
'x,y,z'
'-x,-y,-z'
'-x,y,-z'
'x,-y,z'
'x+1/2,y+1/2,z'
'-x+1/2,-y+1/2,-z'
'-x+1/2,y+1/2,-z'
'x+1/2,-y+1/2,z'
loop_
_atom_site_label
_atom_site_fract_x
_atom_site_fract_y
_atom_site_fract_z
Ba1 0.1564 0.0000 0.3501
Ti1 0.0039 0.5000 0.0996
Ti2 0.1724 0.0000 0.8379
V1 0.1736 0.0000 0.0347